# 1
# PBE NdTm6Tl, relaxed
# Space-group type: No. 12
# E_tot (eV per atom): -4.215
# D(E_F) (states/eV/atom): 1.291
# Energy of formation from the pure elements (meV per atom): 30
data_NdTm6Tl
_chemical_formula_sum 'Nd1 Tm6 Tl1'
_cell_length_a 6.274
_cell_length_b 6.274
_cell_length_c 6.313
_cell_angle_alpha 96.37
_cell_angle_beta 96.37
_cell_angle_gamma 94.99
_space_group_name_H-M_alt 'P 1'
_space_group_IT_number 1
loop_
_space_group_symop_operation_xyz
'x,y,z'
loop_
_atom_site_label
_atom_site_type_symbol
_atom_site_fract_x
_atom_site_fract_y
_atom_site_fract_z
Nd1 Nd 0.000 0.000 0.000
Tm1 Tm 0.150 0.522 0.284
Tm2 Tm 0.342 0.342 0.802
Tm3 Tm 0.478 0.850 0.716
Tm4 Tm 0.522 0.150 0.284
Tm5 Tm 0.658 0.658 0.198
Tm6 Tm 0.850 0.478 0.716
Tl1 Tl 0.000 0.000 0.500

---

# 2
# PBE NdTm6Tl, relaxed
# Space-group type: No. 65
# E_tot (eV per atom): -4.254
# D(E_F) (states/eV/atom): 1.371
# Energy of formation from the pure elements (meV per atom): -8
data_NdTm6Tl
_chemical_formula_sum 'Nd1 Tm6 Tl1'
_cell_length_a 6.819
_cell_length_b 6.819
_cell_length_c 5.262
_cell_angle_alpha 90.00
_cell_angle_beta 90.00
_cell_angle_gamma 102.99
_space_group_name_H-M_alt 'P 1'
_space_group_IT_number 1
loop_
_space_group_symop_operation_xyz
'x,y,z'
loop_
_atom_site_label
_atom_site_type_symbol
_atom_site_fract_x
_atom_site_fract_y
_atom_site_fract_z
Nd1 Nd 0.000 0.000 0.000
Tm1 Tm 0.000 0.500 0.000
Tm2 Tm 0.218 0.782 0.500
Tm3 Tm 0.285 0.285 0.500
Tm4 Tm 0.500 0.000 0.000
Tm5 Tm 0.715 0.715 0.500
Tm6 Tm 0.782 0.218 0.500
Tl1 Tl 0.500 0.500 0.000

---

# 3
# PBE Nd3Tm8Tl, relaxed
# Space-group type: No. 121
# E_tot (eV per atom): -3.835
# D(E_F) (states/eV/atom): 1.472
# Energy of formation from the pure elements (meV per atom): 535
data_Nd3Tm8Tl
_chemical_formula_sum 'Nd3 Tm8 Tl1'
_cell_length_a 8.283
_cell_length_b 8.283
_cell_length_c 8.283
_cell_angle_alpha 117.27
_cell_angle_beta 117.27
_cell_angle_gamma 94.81
_space_group_name_H-M_alt 'P 1'
_space_group_IT_number 1
loop_
_space_group_symop_operation_xyz
'x,y,z'
loop_
_atom_site_label
_atom_site_type_symbol
_atom_site_fract_x
_atom_site_fract_y
_atom_site_fract_z
Nd1 Nd 0.000 0.000 0.000
Nd2 Nd 0.250 0.750 0.500
Nd3 Nd 0.750 0.250 0.500
Tm1 Tm 0.118 0.118 0.746
Tm2 Tm 0.233 0.233 0.496
Tm3 Tm 0.264 0.767 0.000
Tm4 Tm 0.372 0.372 0.254
Tm5 Tm 0.628 0.882 0.000
Tm6 Tm 0.736 0.736 0.504
Tm7 Tm 0.767 0.264 0.000
Tm8 Tm 0.882 0.628 0.000
Tl1 Tl 0.500 0.500 0.000

---

# 4
# PBE Nd7Tm2Tl2, relaxed
# Space-group type: No. 44
# E_tot (eV per atom): -4.304
# D(E_F) (states/eV/atom): 1.469
# Energy of formation from the pure elements (meV per atom): -27
data_Nd7Tm2Tl2
_chemical_formula_sum 'Nd7 Tm2 Tl2'
_cell_length_a 11.556
_cell_length_b 11.556
_cell_length_c 11.556
_cell_angle_alpha 161.63
_cell_angle_beta 54.34
_cell_angle_gamma 129.34
_space_group_name_H-M_alt 'P 1'
_space_group_IT_number 1
loop_
_space_group_symop_operation_xyz
'x,y,z'
loop_
_atom_site_label
_atom_site_type_symbol
_atom_site_fract_x
_atom_site_fract_y
_atom_site_fract_z
Nd1 Nd 0.000 0.000 0.000
Nd2 Nd 0.008 0.347 0.661
Nd3 Nd 0.087 0.718 0.369
Nd4 Nd 0.349 0.718 0.631
Nd5 Nd 0.415 0.544 0.871
Nd6 Nd 0.673 0.544 0.129
Nd7 Nd 0.686 0.347 0.339
Tm1 Tm 0.354 0.354 0.000
Tm2 Tm 0.675 0.175 0.500
Tl1 Tl 0.308 0.065 0.243
Tl2 Tl 0.821 0.065 0.757

---

# 5
# PBE Nd3Tm3Tl5, relaxed
# Space-group type: No. 189
# E_tot (eV per atom): -3.551
# D(E_F) (states/eV/atom): 1.258
# Energy of formation from the pure elements (meV per atom): 45
data_Nd3Tm3Tl5
_chemical_formula_sum 'Nd3 Tm3 Tl5'
_cell_length_a 10.633
_cell_length_b 10.633
_cell_length_c 3.599
_cell_angle_alpha 90.00
_cell_angle_beta 90.00
_cell_angle_gamma 120.00
_space_group_name_H-M_alt 'P 1'
_space_group_IT_number 1
loop_
_space_group_symop_operation_xyz
'x,y,z'
loop_
_atom_site_label
_atom_site_type_symbol
_atom_site_fract_x
_atom_site_fract_y
_atom_site_fract_z
Nd1 Nd 0.000 0.403 0.000
Nd2 Nd 0.403 0.000 0.000
Nd3 Nd 0.597 0.597 0.000
Tm1 Tm 0.000 0.664 0.500
Tm2 Tm 0.336 0.336 0.500
Tm3 Tm 0.664 0.000 0.500
Tl1 Tl 0.000 0.163 0.500
Tl2 Tl 0.163 0.000 0.500
Tl3 Tl 0.333 0.667 0.500
Tl4 Tl 0.667 0.333 0.500
Tl5 Tl 0.837 0.837 0.500

---

# 6
# PBE NdTm5Tl6, relaxed
# Space-group type: No. 12
# E_tot (eV per atom): -3.748
# D(E_F) (states/eV/atom): 0.804
# Energy of formation from the pure elements (meV per atom): -305
data_NdTm5Tl6
_chemical_formula_sum 'Nd1 Tm5 Tl6'
_cell_length_a 9.274
_cell_length_b 9.274
_cell_length_c 5.356
_cell_angle_alpha 106.72
_cell_angle_beta 106.72
_cell_angle_gamma 120.31
_space_group_name_H-M_alt 'P 1'
_space_group_IT_number 1
loop_
_space_group_symop_operation_xyz
'x,y,z'
loop_
_atom_site_label
_atom_site_type_symbol
_atom_site_fract_x
_atom_site_fract_y
_atom_site_fract_z
Nd1 Nd 0.000 0.000 0.000
Tm1 Tm 0.163 0.837 0.500
Tm2 Tm 0.333 0.667 0.000
Tm3 Tm 0.500 0.500 0.500
Tm4 Tm 0.667 0.333 0.000
Tm5 Tm 0.837 0.163 0.500
Tl1 Tl 0.085 0.425 0.255
Tl2 Tl 0.260 0.260 0.761
Tl3 Tl 0.425 0.085 0.255
Tl4 Tl 0.575 0.915 0.745
Tl5 Tl 0.740 0.740 0.239
Tl6 Tl 0.915 0.575 0.745

---

# 7
# PBE Nd7TmTl2, relaxed
# Space-group type: No. 65
# E_tot (eV per atom): -3.925
# D(E_F) (states/eV/atom): 1.992
# Energy of formation from the pure elements (meV per atom): 333
data_Nd7TmTl2
_chemical_formula_sum 'Nd7 Tm1 Tl2'
_cell_length_a 9.367
_cell_length_b 9.367
_cell_length_c 5.359
_cell_angle_alpha 90.00
_cell_angle_beta 90.00
_cell_angle_gamma 119.80
_space_group_name_H-M_alt 'P 1'
_space_group_IT_number 1
loop_
_space_group_symop_operation_xyz
'x,y,z'
loop_
_atom_site_label
_atom_site_type_symbol
_atom_site_fract_x
_atom_site_fract_y
_atom_site_fract_z
Nd1 Nd 0.000 0.000 0.000
Nd2 Nd 0.200 0.437 0.000
Nd3 Nd 0.278 0.722 0.500
Nd4 Nd 0.437 0.200 0.000
Nd5 Nd 0.563 0.800 0.000
Nd6 Nd 0.722 0.278 0.500
Nd7 Nd 0.800 0.563 0.000
Tm1 Tm 0.500 0.500 0.500
Tl1 Tl 0.193 0.807 0.000
Tl2 Tl 0.807 0.193 0.000

---

# 8
# PBE Nd12Tm7Tl, relaxed
# Space-group type: No. 148
# E_tot (eV per atom): -4.444
# D(E_F) (states/eV/atom): 1.649
# Energy of formation from the pure elements (meV per atom): 100
data_Nd12Tm7Tl
_chemical_formula_sum 'Nd12 Tm7 Tl1'
_cell_length_a 9.309
_cell_length_b 9.309
_cell_length_c 9.309
_cell_angle_alpha 107.42
_cell_angle_beta 107.42
_cell_angle_gamma 107.42
_space_group_name_H-M_alt 'P 1'
_space_group_IT_number 1
loop_
_space_group_symop_operation_xyz
'x,y,z'
loop_
_atom_site_label
_atom_site_type_symbol
_atom_site_fract_x
_atom_site_fract_y
_atom_site_fract_z
Nd1 Nd 0.064 0.397 0.293
Nd2 Nd 0.217 0.381 0.678
Nd3 Nd 0.293 0.064 0.397
Nd4 Nd 0.322 0.783 0.619
Nd5 Nd 0.381 0.678 0.217
Nd6 Nd 0.397 0.293 0.064
Nd7 Nd 0.603 0.707 0.936
Nd8 Nd 0.619 0.322 0.783
Nd9 Nd 0.678 0.217 0.381
Nd10 Nd 0.707 0.936 0.603
Nd11 Nd 0.783 0.619 0.322
Nd12 Nd 0.936 0.603 0.707
Tm1 Tm 0.005 0.312 0.898
Tm2 Tm 0.102 0.995 0.688
Tm3 Tm 0.312 0.898 0.005
Tm4 Tm 0.500 0.500 0.500
Tm5 Tm 0.688 0.102 0.995
Tm6 Tm 0.898 0.005 0.312
Tm7 Tm 0.995 0.688 0.102
Tl1 Tl 0.000 0.000 0.000